# PBE with a Hubbard U NiPI2O, relaxed
data_NiPI2O
_chemical_formula_sum 'Ni1 P1 I2 O1'
_symmetry_space_group_name_H-M 'P 4/m m m'
_symmetry_Int_Tables_number 123
_symmetry_space_group_name_Hall '-P 4 2'
_cell_length_a 5.590
_cell_length_b 5.590
_cell_length_c 3.566
_cell_angle_alpha 90.00
_cell_angle_beta 90.00
_cell_angle_gamma 90.00
loop_
_atom_site_label
_atom_site_type_symbol
_atom_site_fract_x
_atom_site_fract_y
_atom_site_fract_z
Ni1 Ni 0.000 0.000 0.000
P1 P 0.500 0.500 0.500
I1 I 0.000 0.500 0.500
O1 O 0.500 0.500 0.000
# ΔE to the lowest computed polymorph (meV per atom): 0
# Total DFT energy (no corrections) (eV/atom): -3.095
# Calculated volume (A^3/atom): 22.29
# D(E_F) (states/eV per cell): 1.3